# 1
A plane-wave DFT calculation with PBE-GGA was carried out for crystalline SrNbRe at its relaxed geometry.

Calculated values
Space group   F-43m (216)

abc: 4.660 4.660 4.660
angles: 60.00 60.00 60.00
Positions (direct):
Nb  0.250  0.250  0.250
Sr  0.750  0.750  0.750
Re  0.000  0.000  0.000


# 2
A plane-wave DFT calculation with PBE-GGA was carried out for crystalline SrNbRe at its relaxed geometry.

Calculated values
Space group   F-43m (216)

abc: 4.631 4.631 4.631
angles: 60.00 60.00 60.00
Positions (direct):
Nb  0.250  0.250  0.250
Re  0.750  0.750  0.750
Sr  0.000  0.000  0.000


Calculated total energy: -20.9 -16.4 (eV/f.u.)